LiTmIn4: optimized geometry, PBE.

```
LiTmIn4
1.0
5.406 -1.701 0.000
5.406 1.701 0.000
-3.237 0.000 8.035
Li Tm In
1 1 4
Cartesian
0.000 0.000 0.000
-1.618 0.000 4.017
3.068 0.000 1.257
1.433 0.000 5.441
6.142 0.000 2.594
4.508 0.000 6.778
```

Results
Calculated formation energy   -177.1 meV per atom
Size of the total moment   0.00 μB per atom

YPu2Pd9: optimized geometry, PBE.

```
YPu2Pd9
1.0
4.137 0.000 0.000
0.000 4.137 0.000
0.000 0.000 12.431
Y Pu Pd
1 2 9
Cartesian
0.000 0.000 0.000
0.000 0.000 4.135
0.000 0.000 8.296
0.000 2.069 2.089
0.000 2.069 6.215
0.000 2.069 10.342
2.069 0.000 2.089
2.069 0.000 6.215
2.069 0.000 10.342
2.069 2.069 0.000
2.069 2.069 4.143
2.069 2.069 8.288
```

Results
Calculated formation energy   -660.2 meV per atom
Size of the total moment   0.72 μB per atom